# 1
Entry from Alexandria via LeMat-Bulk: SiPbC2 after structural relaxation (GGA-PBE).

abc: 6.0189 6.0189 6.0189
angles: 90.00 90.00 90.00
Last column: nearest neighbours and their distance in Å.
Sites, in units of the cell vectors:
Si1 0.0000 0.0000 0.0000  8 C 2.61
Si2 0.0000 0.5000 0.5000  8 C 2.61
Si3 0.5000 0.0000 0.5000  8 C 2.61
Si4 0.5000 0.5000 0.0000  8 C 2.61
Pb1 0.0000 0.0000 0.5000  8 C 2.61
Pb2 0.0000 0.5000 0.0000  8 C 2.61
Pb3 0.5000 0.0000 0.0000  8 C 2.61
Pb4 0.5000 0.5000 0.5000  8 C 2.61
C1 0.2500 0.2500 0.2500  4 Pb 2.61, 4 Si 2.61
C2 0.2500 0.2500 0.7500  4 Pb 2.61, 4 Si 2.61
C3 0.2500 0.7500 0.2500  4 Pb 2.61, 4 Si 2.61
C4 0.2500 0.7500 0.7500  4 Pb 2.61, 4 Si 2.61
C5 0.7500 0.2500 0.2500  4 Pb 2.61, 4 Si 2.61
C6 0.7500 0.2500 0.7500  4 Pb 2.61, 4 Si 2.61
C7 0.7500 0.7500 0.2500  4 Pb 2.61, 4 Si 2.61
C8 0.7500 0.7500 0.7500  4 Si 2.61, 4 Pb 2.61

SG: Fm-3m
density of states at the Fermi level: 0.49 states/eV per atom
excess energy over the best structure of this formula in the dataset: 1689 meV per atom
crystal system: cubic


# 2
Entry from Alexandria via LeMat-Bulk: Er5Bi4Pb after structural relaxation (GGA-PBE).

abc: 7.7160 7.7160 10.9051
angles: 118.24 118.24 33.30
Last column: nearest neighbours and their distance in Å.
Sites, in units of the cell vectors:
Er1 0.0000 0.0000 0.0000  6 Bi 3.14
Er2 0.1986 0.1986 0.7977  1 Pb 3.12, 5 Bi 3.14-3.15
Er3 0.4010 0.4010 0.6003  2 Pb 3.13, 4 Bi 3.14-3.16
Er4 0.5990 0.5990 0.3997  2 Pb 3.13, 4 Bi 3.14-3.16
Er5 0.8014 0.8014 0.2023  1 Pb 3.12, 5 Bi 3.14-3.15
Bi1 0.1991 0.1991 0.3007  6 Er 3.14-3.15
Bi2 0.3988 0.3988 0.0981  6 Er 3.14-3.16
Bi3 0.6012 0.6012 0.9019  6 Er 3.14-3.16
Bi4 0.8009 0.8009 0.6993  6 Er 3.14-3.15
Pb1 0.0000 0.0000 0.5000  6 Er 3.12-3.13

formation energy from the elements: -710 meV/atom
SG: C2/m
density of states at the Fermi level: 0.28 states/eV per atom
crystal system: monoclinic


# 3
Entry from Alexandria via LeMat-Bulk: CuH6I after structural relaxation (GGA-PBE).

abc: 8.8527 5.8667 6.2934
angles: 90.00 134.33 90.00
Last column: nearest neighbours and their distance in Å.
Sites, in units of the cell vectors:
Cu1 0.0000 0.0000 0.0000  6 H 1.52-1.58
Cu2 0.5000 0.5000 0.0000  6 H 1.52-1.58
H1 0.1849 0.1808 0.1827  1 H 1.12
H2 0.1849 0.8192 0.1827  1 H 1.12
H3 0.2395 0.0000 0.2362  2 H 1.12
H4 0.2605 0.5000 0.7638  2 H 1.12
H5 0.3151 0.3192 0.8173  1 H 1.12
H6 0.3151 0.6808 0.8173  1 H 1.12
H7 0.6849 0.3192 0.1827  1 H 1.12
H8 0.6849 0.6808 0.1827  1 H 1.12
H9 0.7395 0.5000 0.2362  2 H 1.12
H10 0.7605 0.0000 0.7638  2 H 1.12
H11 0.8151 0.1808 0.8173  1 H 1.12
H12 0.8151 0.8192 0.8173  1 H 1.12
I1 0.0000 0.0000 0.5000  4 H 2.74
I2 0.5000 0.5000 0.5000  4 H 2.74

SG: C2/m
VASP energy: -2.88 eV/atom
crystal system: monoclinic


| no. | mass density (Mg/m³) |
| --- | --- |
| 1 | 7.9 |
| 2 | 10.1 |
| 3 | 2.8 |